[1]
VASP calculation (PBE-GGA) on a relaxed LaHgBi2 crystal.

Output
Space group ... I-42d (122)
Formation energy ... -322 meV/atom

```
LaHgBi2
1.0
8.7302 0.0000 0.0000
0.0000 8.7302 0.0000
0.0000 0.0000 6.7979
La Hg Bi
4 4 8
Direct
0.0000 0.0000 0.0000
0.0000 0.5000 0.2500
0.5000 0.0000 0.7500
0.5000 0.5000 0.5000
0.0000 0.0000 0.5000
0.0000 0.5000 0.7500
0.5000 0.0000 0.2500
0.5000 0.5000 0.0000
0.2232 0.2500 0.6250
0.2500 0.7232 0.8750
0.2500 0.7768 0.3750
0.2768 0.2500 0.1250
0.7232 0.7500 0.1250
0.7500 0.2232 0.3750
0.7500 0.2768 0.8750
0.7768 0.7500 0.6250
```

[2]
VASP calculation (PBE-GGA) on a relaxed La2Hg2Bi crystal.

Output
Space group ... I4/mmm (139)
Formation energy ... -265 meV/atom
Distance to the lowest polymorph of the same formula ... 298 meV/atom

```
La2Hg2Bi
1.0
5.9838 0.0000 0.0000
0.0000 5.9838 0.0000
0.0000 0.0000 9.5339
La Hg Bi
4 4 2
Direct
0.0000 0.5000 0.2500
0.0000 0.5000 0.7500
0.5000 0.0000 0.2500
0.5000 0.0000 0.7500
0.0000 0.0000 0.1433
0.0000 0.0000 0.8567
0.5000 0.5000 0.3567
0.5000 0.5000 0.6433
0.0000 0.0000 0.5000
0.5000 0.5000 0.0000
```

[3]
VASP calculation (PBE-GGA) on a relaxed La2Hg2Bi crystal.

Output
Space group ... I4/mmm (139)
Formation energy ... -472 meV/atom
Distance to the lowest polymorph of the same formula ... 92 meV/atom

```
La2Hg2Bi
1.0
4.2353 0.0000 0.0000
0.0000 4.2353 0.0000
0.0000 0.0000 17.7462
La Hg Bi
4 4 2
Direct
0.0000 0.0000 0.1027
0.0000 0.0000 0.8973
0.5000 0.5000 0.3973
0.5000 0.5000 0.6027
0.0000 0.5000 0.2500
0.0000 0.5000 0.7500
0.5000 0.0000 0.2500
0.5000 0.0000 0.7500
0.0000 0.0000 0.5000
0.5000 0.5000 0.0000
```

[4]
VASP calculation (PBE-GGA) on a relaxed La4Hg4Bi5 crystal.

Output
Space group ... I4/m (87)
Formation energy ... -570 meV/atom

```
La4Hg4Bi5
1.0
-6.5298 6.5298 2.3944
6.5298 -6.5298 2.3944
6.5298 6.5298 -2.3944
La Hg Bi
4 4 5
Direct
0.0970 0.7710 0.8681
0.2290 0.0970 0.3260
0.7710 0.9030 0.6740
0.9030 0.2290 0.1319
0.0880 0.4113 0.4993
0.4113 0.9120 0.3234
0.5887 0.0880 0.6766
0.9120 0.5887 0.5007
0.0000 0.0000 0.0000
0.2914 0.5846 0.8759
0.4154 0.2914 0.7068
0.5846 0.7086 0.2932
0.7086 0.4154 0.1241
```

[5]
VASP calculation (PBE-GGA) on a relaxed La4Hg2Bi crystal.

Output
Space group ... I4/mmm (139)
Formation energy ... -167 meV/atom
Distance to the lowest polymorph of the same formula ... 255 meV/atom

```
La4Hg2Bi
1.0
6.0736 0.0000 0.0000
0.0000 6.0736 0.0000
0.0000 0.0000 15.5196
La Hg Bi
8 4 2
Direct
0.0000 0.0000 0.2040
0.0000 0.0000 0.7960
0.0000 0.5000 0.0000
0.0000 0.5000 0.5000
0.5000 0.0000 0.0000
0.5000 0.0000 0.5000
0.5000 0.5000 0.2960
0.5000 0.5000 0.7040
0.0000 0.0000 0.4009
0.0000 0.0000 0.5991
0.5000 0.5000 0.0991
0.5000 0.5000 0.9009
0.0000 0.0000 0.0000
0.5000 0.5000 0.5000
```

[6]
VASP calculation (PBE-GGA) on a relaxed La2HgBi2 crystal.

Output
Space group ... P4/mbm (127)
Formation energy ... -747 meV/atom
Distance to the lowest polymorph of the same formula ... 0 meV/atom

```
La2HgBi2
1.0
8.8720 0.0000 0.0000
0.0000 8.8720 0.0000
0.0000 0.0000 4.3003
La Hg Bi
4 2 4
Direct
0.1463 0.3537 0.0000
0.3537 0.8537 0.0000
0.6463 0.1463 0.0000
0.8537 0.6463 0.0000
0.0000 0.0000 0.0000
0.5000 0.5000 0.0000
0.1583 0.6583 0.5000
0.3417 0.1583 0.5000
0.6583 0.8417 0.5000
0.8417 0.3417 0.5000
```

[7]
VASP calculation (PBE-GGA) on a relaxed LaHgBi2 crystal.

Output
Space group ... R-3m (166)
Formation energy ... -128 meV/atom

```
LaHgBi2
1.0
5.1259 0.0000 0.0000
-2.5630 4.4392 0.0000
0.0000 0.0000 25.8283
La Hg Bi
3 3 6
Direct
0.0000 0.0000 0.0000
0.3333 0.6667 0.6667
0.6667 0.3333 0.3333
0.0000 0.0000 0.5000
0.3333 0.6667 0.1667
0.6667 0.3333 0.8333
0.0000 0.0000 0.3904
0.0000 0.0000 0.6096
0.3333 0.6667 0.0571
0.3333 0.6667 0.2763
0.6667 0.3333 0.7237
0.6667 0.3333 0.9429
```

[8]
VASP calculation (PBE-GGA) on a relaxed La2Hg5Bi crystal.

Output
Space group ... Pbam (55)
Formation energy ... -472 meV/atom

```
La2Hg5Bi
1.0
6.9192 0.0000 0.0000
0.0000 13.7893 0.0000
0.0000 0.0000 4.6793
La Hg Bi
4 10 2
Direct
0.2301 0.1187 0.0000
0.2699 0.6187 0.0000
0.7301 0.3813 0.0000
0.7699 0.8813 0.0000
0.0000 0.5000 0.5000
0.0337 0.7478 0.5000
0.2200 0.3647 0.0000
0.2800 0.8647 0.0000
0.4663 0.2478 0.5000
0.5000 0.0000 0.5000
0.5337 0.7522 0.5000
0.7200 0.1353 0.0000
0.7800 0.6353 0.0000
0.9663 0.2522 0.5000
0.0000 0.0000 0.5000
0.5000 0.5000 0.5000
```